Entry 1:
First-principles (PBE-GGA) data for La6TcNi2 after structural relaxation, as listed in the Alexandria database.

## Properties
The value obtained for the energy of formation from the pure elements is -1.12 eV/f.u. As for the raw total energy: -5.846 eV/atom. The spin magnetization is 0.00 μB/f.u. Its density of states at the Fermi level is 19.729 states/eV/cell. The space group is P2_1/c, No. 14.

Cell lengths 6.788, 7.454, 10.530 Å; angles 90.00, 86.19, 90.00 degrees
Fractional coordinates of all 18 atoms:
La: 0.661 0.440 0.751
Ni: 0.945 0.389 0.227
La: 0.669 0.180 0.429
La: 0.339 0.560 0.249
La: 0.161 0.060 0.251
La: 0.326 0.821 0.922
Ni: 0.555 0.889 0.273
La: 0.174 0.321 0.578
La: 0.169 0.320 0.929
Tc: 0.000 0.000 0.500
La: 0.331 0.820 0.571
Ni: 0.055 0.611 0.773
Tc: 0.500 0.500 0.000
La: 0.831 0.680 0.071
Ni: 0.445 0.111 0.727
La: 0.839 0.940 0.749
La: 0.674 0.179 0.078
La: 0.826 0.679 0.422

---

Entry 2:
First-principles (PBE-GGA) data for LaTcNi2 after structural relaxation, as listed in the Alexandria database.

## Properties
The value obtained for the energy of formation from the pure elements is 0.62 eV/f.u. As for the raw total energy: -6.558 eV/atom. The spin magnetization is 0.42 μB/f.u. Its density of states at the Fermi level is 5.508 states/eV/cell. The space group is Pm, No. 6.

Cell lengths 4.168, 3.265, 5.144 Å; angles 78.27, 90.00, 90.00 degrees
Last column: magnetic moment on the atom in μB.
Fractional coordinates of all 4 atoms:
La: 0.500 0.725 0.798  -0.01
Ni: 0.000 0.141 0.012  0.07
Tc: 0.000 0.487 0.396  0.25
Ni: 0.500 0.148 0.294  0.10

---

Entry 3:
First-principles (PBE-GGA) data for LaTcNi2 after structural relaxation, as listed in the Alexandria database.

## Properties
The value obtained for the energy of formation from the pure elements is 1.27 eV/f.u. As for the raw total energy: -6.397 eV/atom. The spin magnetization is 1.99 μB/f.u. Its density of states at the Fermi level is 3.604 states/eV/cell. The space group is I-4m2, No. 119.

Cell lengths 4.895, 4.895, 4.895 Å; angles 130.82, 130.82, 72.11 degrees
Last column: magnetic moment on the atom in μB.
Fractional coordinates of all 4 atoms:
La: 0.750 0.250 0.500  0.01
Ni: 0.250 0.750 0.500  0.51
Ni: 0.000 0.000 0.000  0.25
Tc: 0.500 0.500 0.000  1.24

---

Entry 4:
First-principles (PBE-GGA) data for LaTcNi2 after structural relaxation, as listed in the Alexandria database.

## Properties
The value obtained for the energy of formation from the pure elements is -0.39 eV/f.u. As for the raw total energy: -6.812 eV/atom. The spin magnetization is 1.17 μB/f.u. Its density of states at the Fermi level is 4.968 states/eV/cell. The space group is C2/m, No. 12.

Cell lengths 4.205, 4.205, 5.554 Å; angles 67.69, 67.69, 60.02 degrees
Last column: magnetic moment on the atom in μB.
Fractional coordinates of all 4 atoms:
Tc: 0.750 0.750 0.750  0.75
La: 0.250 0.250 0.250  -0.04
Ni: 0.057 0.057 0.829  0.24
Ni: 0.443 0.443 0.671  0.24

---

Entry 5:
First-principles (PBE-GGA) data for LaTcNi2 after structural relaxation, as listed in the Alexandria database.

## Properties
The value obtained for the energy of formation from the pure elements is 0.60 eV/f.u. As for the raw total energy: -6.564 eV/atom. The spin magnetization is 1.15 μB/f.u. Its density of states at the Fermi level is 5.437 states/eV/cell. The space group is P4/mmm, No. 123.

Cell lengths 3.177, 3.177, 6.713 Å; angles 90.00, 90.00, 90.03 degrees
Last column: magnetic moment on the atom in μB.
Fractional coordinates of all 4 atoms:
La: 0.500 0.500 0.750  -0.03
Ni: 0.000 0.000 0.431  0.23
Tc: 0.500 0.500 0.250  0.69
Ni: 0.000 0.000 0.069  0.23

---

Entry 6:
First-principles (PBE-GGA) data for LaTcNi2 after structural relaxation, as listed in the Alexandria database.

## Properties
The value obtained for the energy of formation from the pure elements is -0.32 eV/f.u. As for the raw total energy: -6.795 eV/atom. The spin magnetization is 0.00 μB/f.u. Its density of states at the Fermi level is 3.400 states/eV/cell. The space group is Cm, No. 8.

Cell lengths 4.214, 4.214, 5.564 Å; angles 67.76, 67.76, 59.98 degrees
Fractional coordinates of all 4 atoms:
Ni: 0.062 0.062 0.813
La: 0.253 0.253 0.240
Tc: 0.436 0.436 0.693
Ni: 0.749 0.749 0.753

---

Entry 7:
First-principles (PBE-GGA) data for LaTcNi2 after structural relaxation, as listed in the Alexandria database.

## Properties
The value obtained for the energy of formation from the pure elements is 2.28 eV/f.u. As for the raw total energy: -6.144 eV/atom. The spin magnetization is 0.67 μB/f.u. Its density of states at the Fermi level is 8.048 states/eV/cell. The space group is R-3m, No. 166.

Cell lengths 9.187, 9.187, 9.187 Å; angles 18.24, 18.24, 18.24 degrees
Last column: magnetic moment on the atom in μB.
Fractional coordinates of all 4 atoms:
Tc: 0.250 0.250 0.250  0.00
Ni: 0.987 0.987 0.987  0.03
La: 0.750 0.750 0.750  0.48
Ni: 0.513 0.513 0.513  0.03

---

Entry 8:
First-principles (PBE-GGA) data for LaTcNi2 after structural relaxation, as listed in the Alexandria database.

## Properties
The value obtained for the energy of formation from the pure elements is 1.19 eV/f.u. As for the raw total energy: -6.418 eV/atom. The spin magnetization is 0.00 μB/f.u. Its density of states at the Fermi level is 5.766 states/eV/cell. The space group is Imm2, No. 44.

Cell lengths 5.462, 5.462, 5.462 Å; angles 148.37, 129.65, 60.69 degrees
Fractional coordinates of all 4 atoms:
Ni: 0.759 0.259 0.500
Tc: 0.526 0.526 0.000
La: 0.243 0.743 0.500
Ni: 0.972 0.972 0.000

---

Entry 9:
First-principles (PBE-GGA) data for LaTcNi3 after structural relaxation, as listed in the Alexandria database.

## Properties
The value obtained for the energy of formation from the pure elements is 8.57 eV/f.u. As for the raw total energy: -4.813 eV/atom. The spin magnetization is 0.00 μB/f.u. Its density of states at the Fermi level is 9.823 states/eV/cell. The space group is Pm-3m, No. 221.

Cell lengths 4.554, 4.554, 4.554 Å; angles 90.00, 90.00, 90.00 degrees
Fractional coordinates of all 5 atoms:
Ni: 0.000 0.000 0.500
Ni: 0.500 0.000 0.000
Ni: 0.000 0.500 0.000
La: 0.000 0.000 0.000
Tc: 0.500 0.500 0.500

---

Entry 10:
First-principles (PBE-GGA) data for LaTcNi2 after structural relaxation, as listed in the Alexandria database.

## Properties
The value obtained for the energy of formation from the pure elements is 1.27 eV/f.u. As for the raw total energy: -6.396 eV/atom. The spin magnetization is 1.96 μB/f.u. Its density of states at the Fermi level is 1.477 states/eV/cell. The space group is F-43m, No. 216.

Cell lengths 4.525, 4.525, 4.525 Å; angles 60.00, 60.00, 60.00 degrees
Last column: magnetic moment on the atom in μB.
Fractional coordinates of all 4 atoms:
Ni: 0.250 0.250 0.250  0.14
Ni: 0.000 0.000 0.000  0.66
La: 0.500 0.500 0.500  -0.01
Tc: 0.750 0.750 0.750  1.29

---

Entry 11:
First-principles (PBE-GGA) data for La5TcNi after structural relaxation, as listed in the Alexandria database.

## Properties
The value obtained for the energy of formation from the pure elements is 0.10 eV/f.u. As for the raw total energy: -5.812 eV/atom. The spin magnetization is 0.00 μB/f.u. Its density of states at the Fermi level is 16.619 states/eV/cell. The space group is C2/c, No. 15.

Cell lengths 9.438, 9.438, 6.279 Å; angles 60.76, 60.76, 78.24 degrees
Fractional coordinates of all 14 atoms:
La: 0.571 0.800 0.091
La: 0.104 0.396 0.750
La: 0.300 0.071 0.591
La: 0.655 0.385 0.097
La: 0.700 0.929 0.409
La: 0.345 0.615 0.903
Tc: 0.169 0.331 0.250
Ni: 0.000 0.000 0.000
La: 0.885 0.155 0.597
Ni: 0.500 0.500 0.500
La: 0.429 0.200 0.909
Tc: 0.831 0.669 0.750
La: 0.115 0.845 0.403
La: 0.896 0.604 0.250

---

Entry 12:
First-principles (PBE-GGA) data for LaTcNi2 after structural relaxation, as listed in the Alexandria database.

## Properties
The value obtained for the energy of formation from the pure elements is 1.44 eV/f.u. As for the raw total energy: -6.353 eV/atom. The spin magnetization is 1.63 μB/f.u. Its density of states at the Fermi level is 8.569 states/eV/cell. The space group is I-42d, No. 122.

Cell lengths 4.562, 4.562, 8.766 Å; angles 74.92, 74.92, 90.00 degrees
Last column: magnetic moment on the atom in μB.
Fractional coordinates of all 8 atoms:
La: 0.750 0.250 0.500  0.00
Tc: 0.250 0.750 0.500  1.00
Tc: 0.500 0.500 0.000  1.02
Ni: 0.425 0.125 0.250  0.26
Ni: 0.875 0.675 0.750  0.32
Ni: 0.325 0.625 0.250  0.26
Ni: 0.375 0.575 0.750  0.26
La: 0.000 0.000 0.000  0.00